Here is a relaxed KPt crystal from Alexandria. Energies are from GGA-PBE.

```
KPt
1.0
8.184 -0.134 -0.081
7.027 4.197 -0.081
7.027 1.877 3.755
K Pt
2 2
Cartesian
20.294 5.420 3.278
1.945 0.519 0.314
7.412 1.979 1.197
14.827 3.960 2.395
```

Computed properties:
* DOS at the Fermi energy: 6.54 states/eV/cell
* ρ: 5.75 g/cm³


Here is a relaxed Ta2TcAu crystal from Alexandria. Energies are from GGA-PBE.

```
Ta2TcAu
1.0
-1.703 1.025 2.014
-0.783 -2.657 -0.577
5.699 -3.065 6.379
Ta Tc Au
2 1 1
Cartesian
0.010 -0.006 0.012
0.246 -1.617 2.386
2.789 -1.500 3.122
3.017 -3.107 5.486
```

Computed properties:
* DOS at the Fermi energy: 3.22 states/eV/cell
* ρ: 15.81 g/cm³


no.,formation energy (kJ per mole of atoms)
1,-9.6
2,2.7